Entry 1:
Below is a geometry-optimized Cr5Co structure, with properties calculated at the GGA-PBEsol level.

Output
Its spin magnetization is 1.0 μB per cell. As for the final energy: -55.40 eV for the cell shown. For the energy of formation, the calculation gives 591 meV/atom. As for the density of states at the Fermi level: 6.9 states/eV per cell.

```
data_Cr5Co
_space_group_name_H-M_alt 'P 6/m m m'
_space_group_IT_number 191
_space_group_name_Hall '-P 6 2'
_cell_length_a 4.5908
_cell_length_b 4.5908
_cell_length_c 3.9580
_cell_angle_alpha 90.00
_cell_angle_beta 90.00
_cell_angle_gamma 120.00
loop_
_atom_site_label
_atom_site_fract_x
_atom_site_fract_y
_atom_site_fract_z
Cr1 0.0000 0.5000 0.0000
Cr2 0.3333 0.6667 0.5000
Co1 0.0000 0.0000 0.5000
```

=====

Entry 2:
Below is a geometry-optimized TaHgTe2 structure, with properties calculated at the GGA-PBEsol level.

Output
Its spin magnetization is 0.0 μB per cell. As for the raw formation energy: -0.21 eV per atom. As for the final energy: -63.00 eV for the cell shown. As for the density of states at the Fermi level: 5.6 states/eV per cell.

```
data_TaHgTe2
_space_group_name_H-M_alt 'R -3 m'
_space_group_IT_number 166
_space_group_name_Hall '-R 3 2"'
_cell_length_a 3.5939
_cell_length_b 3.5939
_cell_length_c 28.5646
_cell_angle_alpha 90.00
_cell_angle_beta 90.00
_cell_angle_gamma 120.00
loop_
_atom_site_label
_atom_site_fract_x
_atom_site_fract_y
_atom_site_fract_z
Ta1 0.0000 0.0000 0.0000
Hg1 0.0000 0.0000 0.5000
Te1 0.0000 0.0000 0.2687
```